Record 1
Entry from Alexandria: a relaxed structure of CePa2Ga9 (PBE).

Computed properties:
Its density of states at the Fermi level is 16.58 states/eV per cell. The energy relative to the elements comes out at -4.961 eV/f.u.

Unit cell a=4.315 b=4.315 c=12.943 alpha=90.00 beta=90.00 gamma=90.00
Space group P4/mmm (No. 123)
Asymmetric unit:
1 Ce 0.000 0.000 0.000 [1 per cell]
2 Pa 0.000 0.000 0.335 [2 per cell]
3 Ga 0.000 0.500 0.168 [4 per cell]
4 Ga 0.000 0.500 0.500 [2 per cell]
5 Ga 0.500 0.500 0.000 [1 per cell]
6 Ga 0.500 0.500 0.334 [2 per cell]


Record 2
Entry from Alexandria: a relaxed structure of LaTlRe2 (PBE).

Computed properties:
Its density of states at the Fermi level is 5.13 states/eV per cell. The energy relative to the elements comes out at 2.222 eV/f.u. The energy above the most stable polymorph in this dataset comes out at 364.5 meV/atom.

Unit cell a=3.716 b=5.041 c=10.047 alpha=90.00 beta=90.00 gamma=90.00
Space group Imm2 (No. 44)
Asymmetric unit:
1 La 0.000 0.000 0.000 [2 per cell]
2 Tl 0.000 0.500 0.215 [2 per cell]
3 Re 0.000 0.000 0.452 [2 per cell]
4 Re 0.000 0.500 0.800 [2 per cell]


Record 3
Entry from Alexandria: a relaxed structure of NaIrRu (PBE).

Computed properties:
Its density of states at the Fermi level is 4.51 states/eV per cell. The energy relative to the elements comes out at 1.133 eV/f.u. The energy above the most stable polymorph in this dataset comes out at 44.0 meV/atom.

Unit cell a=2.690 b=3.907 c=10.699 alpha=90.00 beta=90.00 gamma=90.00
Space group Imm2 (No. 44)
Asymmetric unit:
1 Na 0.000 0.000 0.000 [2 per cell]
2 Ir 0.000 0.000 0.294 [2 per cell]
3 Ru 0.000 0.000 0.711 [2 per cell]


Question: Look up the energy relative to the elements of the third one.
Answer: 1.133 eV/f.u.


Repeat the third record exactly.
Entry from Alexandria: a relaxed structure of NaIrRu (PBE).

Computed properties:
Its density of states at the Fermi level is 4.51 states/eV per cell. The energy relative to the elements comes out at 1.133 eV/f.u. The energy above the most stable polymorph in this dataset comes out at 44.0 meV/atom.

Unit cell a=2.690 b=3.907 c=10.699 alpha=90.00 beta=90.00 gamma=90.00
Space group Imm2 (No. 44)
Asymmetric unit:
1 Na 0.000 0.000 0.000 [2 per cell]
2 Ir 0.000 0.000 0.294 [2 per cell]
3 Ru 0.000 0.000 0.711 [2 per cell]


Question: Which value of energy relative to the elements does entry 2 give?
Answer: 2.222 eV/f.u.